A geometry-optimized CrCuBr2 structure, computed with GGA-PBE.

Lattice parameters (Å, degrees): 6.7915 6.7915 6.7915 33.74 33.74 33.74
Element x y z (fractional)
Cr (0.0000, 0.0000, 0.0000)
Cu (0.5000, 0.5000, 0.5000)
Br (0.2464, 0.2464, 0.2464)
Br (0.7536, 0.7536, 0.7536)

Output
Spin magnetization = 1.2434 μB/atom
Raw formation energy = 0.074 eV per atom
E_tot = -16.8 eV per cell
D(E_F) = 1.36 states/eV per cell